Run P
A relaxed structure of Pm4DyHg, computed with PBE-GGA.

a b c (Å): 3.6656 3.6656 14.1617
angles (deg): 90.00 90.00 90.00
Closest atoms and distances in Å follow each position.
Element x y z (fractional)
Pm (0.0000, 0.0000, 0.1441)  4 Hg 3.30, 8 Pm 3.63-3.67
Pm (0.0000, 0.0000, 0.8559)  4 Hg 3.30, 8 Pm 3.63-3.67
Pm (0.5000, 0.5000, 0.3238)  4 Dy 3.60, 8 Pm 3.63-3.67
Pm (0.5000, 0.5000, 0.6762)  4 Dy 3.60, 8 Pm 3.63-3.67
Dy (0.0000, 0.0000, 0.5000)  8 Pm 3.60, 4 Dy 3.67
Hg (0.5000, 0.5000, 0.0000)  8 Pm 3.30, 4 Hg 3.67

Space group: P4/mmm

***

Run Q
A relaxed structure of Pm4DyHg, computed with PBE-GGA.

a b c (Å): 8.3614 8.3614 6.4763
angles (deg): 100.08 100.08 115.42
Closest atoms and distances in Å follow each position.
Element x y z (fractional)
Pm (0.0895, 0.7118, 0.9522)  2 Hg 3.23-3.24, 4 Pm 3.39-3.61, 1 Dy 3.60
Pm (0.1677, 0.3992, 0.6245)  2 Hg 3.32, 4 Pm 3.39-3.70, 2 Dy 3.46-3.58
Pm (0.2882, 0.9105, 0.5478)  2 Hg 3.23-3.24, 4 Pm 3.39-3.61, 1 Dy 3.60
Pm (0.3992, 0.1677, 0.1245)  2 Hg 3.32, 4 Pm 3.39-3.70, 2 Dy 3.46-3.58
Pm (0.6008, 0.8323, 0.8755)  2 Hg 3.32, 4 Pm 3.39-3.70, 2 Dy 3.46-3.58
Pm (0.7118, 0.0895, 0.4522)  2 Hg 3.23-3.24, 4 Pm 3.39-3.61, 1 Dy 3.60
Pm (0.8323, 0.6008, 0.3755)  2 Hg 3.32, 4 Pm 3.39-3.70, 2 Dy 3.46-3.58
Pm (0.9105, 0.2882, 0.0478)  2 Hg 3.23-3.24, 4 Pm 3.39-3.61, 1 Dy 3.60
Dy (0.4080, 0.5920, 0.2500)  8 Pm 3.46-3.65
Dy (0.5920, 0.4080, 0.7500)  8 Pm 3.46-3.65
Hg (0.0014, 0.9986, 0.2500)  8 Pm 3.23-3.32, 2 Hg 3.24
Hg (0.9986, 0.0014, 0.7500)  8 Pm 3.23-3.32, 2 Hg 3.24

Space group: C2/c

***

It turns out run P is the most stable, with the second structure 95 meV/atom higher.

***

Run P
A relaxed structure of Pm2DyHg2, computed with PBE-GGA.

a b c (Å): 3.7815 5.3643 14.0832
angles (deg): 90.00 97.71 90.00
Closest atoms and distances in Å follow each position.
Element x y z (fractional)
Pm (0.0463, 0.2500, 0.0905)  8 Hg 3.28-3.35
Pm (0.2336, 0.2500, 0.4688)  2 Hg 3.21, 4 Pm 3.39-3.40
Pm (0.7664, 0.7500, 0.5312)  2 Hg 3.21, 4 Pm 3.39-3.40
Pm (0.9537, 0.7500, 0.9095)  8 Hg 3.28-3.35
Dy (0.1471, 0.7500, 0.2927)  6 Hg 3.20-3.29
Dy (0.8529, 0.2500, 0.7073)  6 Hg 3.20-3.29
Hg (0.3587, 0.7500, 0.7171)  4 Pm 3.21-3.29, 4 Dy 3.28-3.29
Hg (0.4456, 0.2500, 0.8925)  2 Dy 3.20, 6 Pm 3.29-3.35
Hg (0.5544, 0.7500, 0.1075)  2 Dy 3.20, 6 Pm 3.29-3.35
Hg (0.6413, 0.2500, 0.2829)  4 Pm 3.21-3.29, 4 Dy 3.28-3.29

Space group: P2_1/m

***

Run Q
A relaxed structure of Pm2DyHg2, computed with PBE-GGA.

a b c (Å): 8.6255 8.6255 3.9171
angles (deg): 90.00 90.00 90.00
Closest atoms and distances in Å follow each position.
Element x y z (fractional)
Pm (0.1663, 0.3337, 0.0000)  6 Hg 3.14-3.25
Pm (0.3337, 0.8337, 0.0000)  6 Hg 3.14-3.25
Pm (0.6663, 0.1663, 0.0000)  6 Hg 3.14-3.25
Pm (0.8337, 0.6663, 0.0000)  6 Hg 3.14-3.25
Dy (0.0000, 0.0000, 0.5000)  4 Hg 3.37, 8 Pm 3.77
Dy (0.5000, 0.5000, 0.5000)  4 Hg 3.37, 8 Pm 3.77
Hg (0.1326, 0.6326, 0.5000)  6 Pm 3.14-3.25, 1 Hg 3.24, 2 Dy 3.37
Hg (0.3674, 0.1326, 0.5000)  6 Pm 3.14-3.25, 1 Hg 3.24, 2 Dy 3.37
Hg (0.6326, 0.8674, 0.5000)  6 Pm 3.14-3.25, 1 Hg 3.24, 2 Dy 3.37
Hg (0.8674, 0.3674, 0.5000)  6 Pm 3.14-3.25, 1 Hg 3.24, 2 Dy 3.37

Space group: P4/mbm

***

It turns out run P is the most stable, with the second structure 11 meV/atom higher.